# 1
VASP calculation (PBE) on a geometry-optimized Cs2TlGeI5 structure.

Unit cell a=10.9762 b=10.9762 c=17.6736 alpha=90.00 beta=90.00 gamma=154.89
Closest atoms and distances in Å follow each position.
Atoms (fractional coordinates):
Cs: 0.0843 0.9157 0.5000  6 I 3.75-3.93
Cs: 0.1436 0.8564 0.1492  8 I 3.85-4.15
Cs: 0.8564 0.1436 0.6492  8 I 3.85-4.15
Cs: 0.9157 0.0843 0.0000  6 I 3.75-3.93
Tl: 0.4611 0.5389 0.3059  4 I 3.35-3.49
Tl: 0.5389 0.4611 0.8059  4 I 3.35-3.49
Ge: 0.2239 0.7761 0.8815  6 I 3.00-3.16
Ge: 0.7761 0.2239 0.3815  6 I 3.00-3.16
I: 0.0890 0.9110 0.9278  1 Ge 3.00
I: 0.2599 0.7401 0.4971  2 Ge 3.16
I: 0.3008 0.6992 0.2720  2 Ge 3.12, 1 Tl 3.49
I: 0.3619 0.6381 0.8368  1 Ge 3.06
I: 0.4955 0.5045 0.6236  1 Tl 3.35, 2 Cs 3.75
I: 0.5045 0.4955 0.1236  1 Tl 3.35, 2 Cs 3.75
I: 0.6381 0.3619 0.3368  1 Ge 3.06
I: 0.6992 0.3008 0.7720  2 Ge 3.12, 1 Tl 3.49
I: 0.7401 0.2599 0.9971  2 Ge 3.16
I: 0.9110 0.0890 0.4278  1 Ge 3.00

Properties
VASP energy, eV/atom: -2.73
Uncorrected formation energy, eV/atom: -0.902
Calculated density, g/cm³: 4.3
Fermi-level density of states, states/eV per atom: 0.000
Total magnetization, μB per formula unit: 0.0

# 2
VASP calculation (PBE) on a geometry-optimized TlAg8O6 structure.

Unit cell a=6.2955 b=6.2955 c=6.2955 alpha=93.69 beta=93.69 gamma=93.69
Closest atoms and distances in Å follow each position.
Atoms (fractional coordinates):
Tl: 0.0000 0.0000 0.0000  6 O 3.02
Ag: 0.0620 0.5094 0.7516  3 O 2.10-2.27
Ag: 0.2484 0.9380 0.4906  3 O 2.10-2.27
Ag: 0.3557 0.3557 0.3557  3 O 2.36
Ag: 0.4906 0.2484 0.9380  3 O 2.10-2.27
Ag: 0.5094 0.7516 0.0620  3 O 2.10-2.27
Ag: 0.6443 0.6443 0.6443  3 O 2.36
Ag: 0.7516 0.0620 0.5094  3 O 2.10-2.27
Ag: 0.9380 0.4906 0.2484  3 O 2.10-2.27
O: 0.2246 0.6805 0.2557  3 Ag 2.10-2.27
O: 0.2557 0.2246 0.6805  3 Ag 2.10-2.27
O: 0.3195 0.7443 0.7754  3 Ag 2.10-2.27
O: 0.6805 0.2557 0.2246  3 Ag 2.10-2.27
O: 0.7443 0.7754 0.3195  3 Ag 2.10-2.27
O: 0.7754 0.3195 0.7443  3 Ag 2.10-2.27

Properties
VASP energy, eV/atom: -3.69
Uncorrected formation energy, eV/atom: -0.025
Calculated density, g/cm³: 7.8
Fermi-level density of states, states/eV per atom: 0.496
Total magnetization, μB per formula unit: 0.0

# 3
VASP calculation (PBE) on a geometry-optimized ThNb2ReC4 structure.

Unit cell a=6.0364 b=6.0364 c=11.1518 alpha=90.00 beta=90.00 gamma=147.91
Closest atoms and distances in Å follow each position.
Atoms (fractional coordinates):
Th: 0.1007 0.8993 0.7500  6 C 2.55-2.74
Th: 0.8993 0.1007 0.2500  6 C 2.55-2.74
Nb: 0.3737 0.6263 0.5376  3 C 2.09-2.26
Nb: 0.3737 0.6263 0.9624  3 C 2.09-2.26
Nb: 0.6263 0.3737 0.0376  3 C 2.09-2.26
Nb: 0.6263 0.3737 0.4624  3 C 2.09-2.26
Re: 0.1622 0.8378 0.2500  4 C 1.95-2.01
Re: 0.8378 0.1622 0.7500  4 C 1.95-2.01
C: 0.0000 0.0000 0.0000  4 Nb 2.26
C: 0.0000 0.0000 0.5000  4 Nb 2.26
C: 0.2664 0.7336 0.1126  1 Re 1.95, 1 Nb 2.09
C: 0.2664 0.7336 0.3874  1 Re 1.95, 1 Nb 2.09
C: 0.4341 0.5659 0.7500  2 Re 2.01
C: 0.5659 0.4341 0.2500  2 Re 2.01
C: 0.7336 0.2664 0.6126  1 Re 1.95, 1 Nb 2.09
C: 0.7336 0.2664 0.8874  1 Re 1.95, 1 Nb 2.09

Properties
VASP energy, eV/atom: -9.82
Calculated formation energy, kJ/mol of formula units: -160.6
Calculated density, g/cm³: 10.0
Fermi-level density of states, states/eV per atom: 0.396
Total magnetization, μB per formula unit: 0.0

# 4
VASP calculation (PBE) on a geometry-optimized CaMoPd structure.

Unit cell a=3.2542 b=3.2943 c=11.1794 alpha=90.00 beta=91.76 gamma=90.00
Closest atoms and distances in Å follow each position.
Atoms (fractional coordinates):
Ca: 0.0000 0.0000 0.0000  4 Pd 3.02, 4 Mo 3.23-3.30, 4 Ca 3.25-3.29
Ca: 0.0387 0.0000 0.3496  8 Pd 3.03-3.06, 4 Ca 3.25-3.29
Mo: 0.0876 0.0000 0.6804  2 Mo 2.46
Mo: 0.5005 0.5000 0.7943  2 Mo 2.46
Pd: 0.5195 0.5000 0.1739  8 Ca 3.02-3.04, 4 Pd 3.25-3.29
Pd: 0.5552 0.5000 0.5284  5 Mo 2.84-2.98, 4 Ca 3.05-3.06

Properties
VASP energy, eV/atom: -6.11
Energy relative to the lowest polymorph listed for this composition, meV/atom: 0
Calculated formation energy, kJ/mol of formula units: -28.9
Calculated density, g/cm³: 6.7
Fermi-level density of states, states/eV per atom: 0.601
Total magnetization, μB per formula unit: 0.0

# 5
VASP calculation (PBE) on a geometry-optimized Tm3Ni2Ge4 structure.

Unit cell a=5.6383 b=5.6383 c=7.9735 alpha=105.43 beta=105.43 gamma=42.98
Closest atoms and distances in Å follow each position.
Atoms (fractional coordinates):
Tm: 0.0000 0.0000 0.0000  6 Ge 2.93-3.03
Tm: 0.3743 0.3743 0.3068  3 Ni 2.85-2.95, 7 Ge 2.93-3.08
Tm: 0.6257 0.6257 0.6932  3 Ni 2.85-2.95, 7 Ge 2.93-3.08
Ni: 0.3065 0.3065 0.6277  4 Ge 2.38-2.50
Ni: 0.6935 0.6935 0.3723  4 Ge 2.38-2.50
Ge: 0.0874 0.0874 0.3969  3 Ni 2.38-2.50
Ge: 0.2933 0.2933 0.9239  1 Ni 2.41, 2 Ge 2.68
Ge: 0.7067 0.7067 0.0761  1 Ni 2.41, 2 Ge 2.68
Ge: 0.9126 0.9126 0.6031  3 Ni 2.38-2.50

Properties
VASP energy, eV/atom: -5.59
Energy relative to the lowest polymorph listed for this composition, meV/atom: 0
Calculated formation energy, kJ/mol of formula units: -665.9
Calculated density, g/cm³: 9.2
Fermi-level density of states, states/eV per atom: 0.448
Total magnetization, μB per formula unit: 0.0

# 6
VASP calculation (PBE) on a geometry-optimized YTaAu2 structure.

Unit cell a=4.8507 b=4.8507 c=4.8507 alpha=60.00 beta=60.00 gamma=60.00
Closest atoms and distances in Å follow each position.
Atoms (fractional coordinates):
Y: 0.0000 0.0000 0.0000  4 Ta 2.97, 4 Au 2.97
Ta: 0.7500 0.7500 0.7500  4 Y 2.97, 4 Au 2.97
Au: 0.2500 0.2500 0.2500  4 Au 2.97, 4 Y 2.97
Au: 0.5000 0.5000 0.5000  4 Ta 2.97, 4 Au 2.97

Properties
VASP energy, eV/atom: -6.09
Energy relative to the lowest polymorph listed for this composition, meV/atom: 373
Calculated formation energy, kJ/mol of formula units: 49.2
Calculated density, g/cm³: 13.7
Fermi-level density of states, states/eV per atom: 1.170
Total magnetization, μB per formula unit: 2.1

# 7
VASP calculation (PBE) on a geometry-optimized FePbSe2N structure.

Unit cell a=5.1262 b=5.1262 c=3.7084 alpha=90.00 beta=90.00 gamma=90.00
Closest atoms and distances in Å follow each position.
Atoms (fractional coordinates):
Fe: 0.0000 0.0000 0.0000  2 N 1.85
Pb: 0.5000 0.5000 0.0000  8 Se 3.16
Se: 0.0000 0.5000 0.5000  2 N 2.56
Se: 0.5000 0.0000 0.5000  2 N 2.56
N: 0.0000 0.0000 0.5000  2 Fe 1.85

Properties
VASP energy, eV/atom: -5.05
Energy relative to the lowest polymorph listed for this composition, meV/atom: 341
Uncorrected formation energy, eV/atom: 0.447
Calculated density, g/cm³: 7.4
Fermi-level density of states, states/eV per atom: 1.101
Total magnetization, μB per formula unit: 2.8

# 8
VASP calculation (PBE) on a geometry-optimized LaPrSmPb structure.

Unit cell a=5.6778 b=5.6778 c=5.6778 alpha=60.00 beta=60.00 gamma=60.00
Closest atoms and distances in Å follow each position.
Atoms (fractional coordinates):
La: 0.0000 0.0000 0.0000  4 Pb 3.48, 4 Sm 3.48
Pr: 0.5000 0.5000 0.5000  4 Pb 3.48, 4 Sm 3.48
Sm: 0.2500 0.2500 0.2500  4 La 3.48, 4 Pr 3.48
Pb: 0.7500 0.7500 0.7500  4 Pr 3.48, 4 La 3.48

Properties
VASP energy, eV/atom: -4.70
Energy relative to the lowest polymorph listed for this composition, meV/atom: 141
Calculated formation energy, kJ/mol of formula units: -65.1
Calculated density, g/cm³: 8.2
Fermi-level density of states, states/eV per atom: 1.908
Total magnetization, μB per formula unit: 0.0